Entry 1:
! CsSbCl2, relaxed, DFT PBE; values from VASP
&SYSTEM
  ibrav = 0, nat = 4, ntyp = 3
/
ATOMIC_SPECIES
Cs 132.91 Cs.upf
Sb 121.76 Sb.upf
Cl 35.45 Cl.upf
ATOMIC_POSITIONS angstrom
Cs 0.0000 0.0000 0.0000
Sb 0.0000 0.0000 15.0404
Cl 0.0000 0.0000 12.3891
Cl 0.0000 0.0000 17.6918
CELL_PARAMETERS angstrom
2.0462 1.1814 10.0270
-2.0462 1.1814 10.0270
0.0000 -2.3628 10.0270
! SG	No. 166
! offset from the most stable computed form	0.0	meV/atom
! E	-3.09	eV per atom
! E_form (uncorrected)	-0.9207	eV per atom

=====

Entry 2:
! PrYHoEr3, relaxed, DFT PBE; values from VASP
&SYSTEM
  ibrav = 0, nat = 12, ntyp = 4
/
ATOMIC_SPECIES
Pr 140.91 Pr.upf
Y 88.91 Y.upf
Ho 164.93 Ho.upf
Er 167.26 Er.upf
ATOMIC_POSITIONS angstrom
Pr 0.7013 0.8970 1.4358
Pr 4.6978 2.6911 9.7455
Y -1.7370 0.8970 9.4400
Y 7.1361 2.6911 1.7413
Ho 2.0279 2.6911 4.2313
Ho 3.3712 0.8970 6.9500
Er -1.0192 0.8970 4.5380
Er 0.3536 2.6911 7.2895
Er 3.7376 2.6911 1.0978
Er 1.6615 0.8970 10.0835
Er 5.0455 0.8970 3.8918
Er 6.4183 2.6911 6.6432
CELL_PARAMETERS angstrom
9.5246 0.0000 0.0000
0.0000 3.5881 0.0000
-4.1255 0.0000 11.1813
! SG	No. 11
! E	-4.92	eV per atom
! ΔE_f	0.00	eV per atom

=====

Entry 3:
! BaSr5Bi4, relaxed, DFT PBE; values from VASP
&SYSTEM
  ibrav = 0, nat = 10, ntyp = 3
/
ATOMIC_SPECIES
Ba 137.33 Ba.upf
Sr 87.62 Sr.upf
Bi 208.98 Bi.upf
ATOMIC_POSITIONS angstrom
Ba 0.0000 0.0000 0.0000
Sr 2.3860 2.4263 -2.3024
Sr 2.3860 2.4263 2.3024
Sr 0.0000 0.0000 7.6150
Sr 0.0000 3.3732 5.3126
Sr 0.0000 3.3732 9.9174
Bi 0.0000 0.0000 3.6702
Bi 0.0000 3.3767 0.0000
Bi 0.0000 8.2222 0.0000
Bi 0.0000 0.0000 11.5598
CELL_PARAMETERS angstrom
-2.3860 5.7995 7.6150
2.3860 -5.7995 7.6150
2.3860 5.7995 -7.6150
! SG	No. 71
! offset from the most stable computed form	128.5	meV/atom
! E	-3.30	eV per atom
! ΔE_f	-0.72	eV per atom

=====

Entry 4:
! La8S3I4Br, relaxed, DFT PBE; values from VASP
&SYSTEM
  ibrav = 0, nat = 16, ntyp = 4
/
ATOMIC_SPECIES
La 138.91 La.upf
S 32.06 S.upf
I 126.90 I.upf
Br 79.90 Br.upf
ATOMIC_POSITIONS angstrom
La 3.5596 2.1886 5.6189
La -0.0070 0.0000 5.5525
La 2.2974 0.0000 2.3520
La 6.0966 2.1886 2.3519
La 3.5596 -2.1886 5.6189
La 7.3587 0.0000 5.6188
La 9.6631 0.0000 2.4183
La 6.0966 -2.1886 2.3519
S -2.4219 0.0000 3.9854
S 1.2031 2.0882 3.9854
S 1.2031 -2.0882 3.9854
I 0.0000 0.0000 0.0000
I 3.6250 2.0882 0.0000
I 3.6250 -2.0882 0.0000
I 7.2500 0.0000 0.0000
Br 4.8281 0.0000 3.9854
CELL_PARAMETERS angstrom
7.2500 -4.1764 0.0000
7.2500 4.1764 0.0000
-4.8439 0.0000 7.9708
! SG	No. 12
! E	-5.20	eV per atom
! E_form (uncorrected)	-1.4707	eV per atom

=====

What is the formula in the second record?
PrYHoEr3

=====

E of number 2 (PrYHoEr3)?
-4.92 eV per atom